Entry 1:
The following is a SCAN calculation of a PBEsol-optimized structure of MnInTc2, from the Alexandria database.

Structure (extended XYZ):
```
4
Lattice="-1.5971 2.1796 4.2663 1.5971 -2.1796 4.2663 1.5971 2.1796 -4.2663" Properties=species:S:1:pos:R:3 pbc="T T T"
Mn 0.0000 0.0000 0.0000
In 0.0000 2.1796 2.0741
Tc 1.5971 0.0000 2.0301
Tc 0.0000 0.0000 4.0700
```

Values from the calculation:
The value obtained for the energy of formation from the pure elements is 89 meV/atom.

Entry 2:
The following is a SCAN calculation of a PBEsol-optimized structure of Mn2InTc, from the Alexandria database.

Structure (extended XYZ):
```
4
Lattice="4.3998 0.0000 0.0000 0.0000 4.3998 0.0000 0.0000 0.0000 3.0125" Properties=species:S:1:pos:R:3 pbc="T T T"
Mn 0.0000 2.1999 0.0000
Mn 2.1999 0.0000 0.0000
In 0.0000 0.0000 1.5062
Tc 2.1999 2.1999 1.5062
```

Values from the calculation:
The value obtained for the energy of formation from the pure elements is 33 meV/atom.

Entry 3:
The following is a SCAN calculation of a PBEsol-optimized structure of MnInTc3, from the Alexandria database.

Structure (extended XYZ):
```
5
Lattice="4.7759 0.0000 0.0000 0.0000 4.7759 0.0000 0.0000 0.0000 4.7759" Properties=species:S:1:pos:R:3 pbc="T T T"
Mn 0.0000 0.0000 0.0000
In 2.3880 2.3880 2.3880
Tc 0.0000 2.3880 2.3880
Tc 2.3880 0.0000 2.3880
Tc 2.3880 2.3880 0.0000
```

Values from the calculation:
The value obtained for the energy of formation from the pure elements is 2255 meV/atom.

Entry 4:
The following is a SCAN calculation of a PBEsol-optimized structure of MnInTe2, from the Alexandria database.

Structure (extended XYZ):
```
4
Lattice="2.0474 -3.0056 0.0000 2.0474 3.0056 0.0000 0.0000 0.0000 8.4179" Properties=species:S:1:pos:R:3 pbc="T T T"
Mn 0.0000 0.0000 0.0000
In 0.0000 0.0000 4.2089
Te 2.0474 0.0000 1.7670
Te 2.0474 0.0000 6.6509
```

Values from the calculation:
Its uncorrected formation energy is -2.6 kcal/mol of atoms.

Entry 5:
The following is a SCAN calculation of a PBEsol-optimized structure of MnInTe2, from the Alexandria database.

Structure (extended XYZ):
```
4
Lattice="3.0813 0.0000 0.0000 0.0000 3.0813 0.0000 0.0000 0.0000 9.4059" Properties=species:S:1:pos:R:3 pbc="T T T"
Mn 0.0000 0.0000 0.0000
In 1.5407 1.5407 7.6581
Te 0.0000 0.0000 4.7601
Te 1.5407 1.5407 1.4337
```

Values from the calculation:
Its uncorrected formation energy is 5.4 kcal/mol of atoms.

Entry 6:
The following is a SCAN calculation of a PBEsol-optimized structure of MnInTe3, from the Alexandria database.

Structure (extended XYZ):
```
5
Lattice="5.5528 0.0000 0.0000 0.0000 5.5528 0.0000 0.0000 0.0000 5.5528" Properties=species:S:1:pos:R:3 pbc="T T T"
Mn 0.0000 0.0000 0.0000
In 2.7764 2.7764 2.7764
Te 0.0000 2.7764 2.7764
Te 2.7764 0.0000 2.7764
Te 2.7764 2.7764 0.0000
```

Values from the calculation:
Its uncorrected formation energy is 13.1 kcal/mol of atoms.

Entry 7:
The following is a SCAN calculation of a PBEsol-optimized structure of YMnInTe2, from the Alexandria database.

Structure (extended XYZ):
```
5
Lattice="5.1964 0.0000 0.0000 0.0000 5.1964 0.0000 0.0000 0.0000 4.8885" Properties=species:S:1:pos:R:3 pbc="T T T"
Y 0.0000 0.0000 0.0000
Mn 2.5982 2.5982 2.4442
In 2.5982 2.5982 0.0000
Te 0.0000 2.5982 2.4442
Te 2.5982 0.0000 2.4442
```

Values from the calculation:
Its uncorrected formation energy is -5.2 kcal/mol of atoms.

Entry 8:
The following is a SCAN calculation of a PBEsol-optimized structure of MnTl2In, from the Alexandria database.

Structure (extended XYZ):
```
4
Lattice="3.1753 0.0000 0.0000 0.0000 3.1753 0.0000 0.0000 0.0000 9.0088" Properties=species:S:1:pos:R:3 pbc="T T T"
Mn 0.0000 0.0000 0.0000
Tl 0.0000 0.0000 4.6455
Tl 1.5876 1.5876 1.8780
In 1.5876 1.5876 7.2973
```

Values from the calculation:
The value obtained for the energy of formation from the pure elements is 85 meV/atom. For the energy above the most stable polymorph in this dataset, the calculation gives 0 meV/atom.

Entry 9:
The following is a SCAN calculation of a PBEsol-optimized structure of MnTlIn, from the Alexandria database.

Structure (extended XYZ):
```
3
Lattice="3.2270 0.0000 0.0000 -1.6135 2.7947 0.0000 0.0000 0.0000 6.9769" Properties=species:S:1:pos:R:3 pbc="T T T"
Mn 0.0000 0.0000 0.0000
Tl 0.0000 1.8631 4.7776
In 1.6135 0.9316 2.0969
```

Values from the calculation:
The value obtained for the energy of formation from the pure elements is 186 meV/atom. For the energy above the most stable polymorph in this dataset, the calculation gives 0 meV/atom.

Entry 10:
The following is a SCAN calculation of a PBEsol-optimized structure of MnTl2In, from the Alexandria database.

Structure (extended XYZ):
```
4
Lattice="-2.1867 2.1867 4.7513 2.1867 -2.1867 4.7513 2.1867 2.1867 -4.7513" Properties=species:S:1:pos:R:3 pbc="T T T"
Mn 0.0000 0.0000 0.0000
Tl 0.0000 0.0000 4.7513
Tl 0.0000 2.1867 2.3757
In 2.1867 0.0000 2.3757
```

Values from the calculation:
The value obtained for the energy of formation from the pure elements is 184 meV/atom. For the energy above the most stable polymorph in this dataset, the calculation gives 99 meV/atom.

Entry 11:
The following is a SCAN calculation of a PBEsol-optimized structure of MnTlIn, from the Alexandria database.

Structure (extended XYZ):
```
3
Lattice="4.6674 0.0000 0.0000 -2.3337 4.0421 0.0000 0.0000 0.0000 3.4603" Properties=species:S:1:pos:R:3 pbc="T T T"
Mn 0.0000 0.0000 0.0000
Tl 0.0000 2.6947 2.4636
In 2.3337 1.3474 1.0456
```

Values from the calculation:
The value obtained for the energy of formation from the pure elements is 195 meV/atom. For the energy above the most stable polymorph in this dataset, the calculation gives 9 meV/atom.

Entry 12:
The following is a SCAN calculation of a PBEsol-optimized structure of MnTlIn2, from the Alexandria database.

Structure (extended XYZ):
```
4
Lattice="-1.5092 2.3437 6.3399 1.5092 -2.3437 6.3399 1.5092 2.3437 -6.3399" Properties=species:S:1:pos:R:3 pbc="T T T"
Mn 0.0000 0.0000 0.0000
Tl 0.0000 0.0000 6.3399
In 1.5092 0.0000 2.4033
In 0.0000 2.3437 3.9365
```

Values from the calculation:
The value obtained for the energy of formation from the pure elements is 79 meV/atom.

Copy entry 3 word for word.
The following is a SCAN calculation of a PBEsol-optimized structure of MnInTc3, from the Alexandria database.

Structure (extended XYZ):
```
5
Lattice="4.7759 0.0000 0.0000 0.0000 4.7759 0.0000 0.0000 0.0000 4.7759" Properties=species:S:1:pos:R:3 pbc="T T T"
Mn 0.0000 0.0000 0.0000
In 2.3880 2.3880 2.3880
Tc 0.0000 2.3880 2.3880
Tc 2.3880 0.0000 2.3880
Tc 2.3880 2.3880 0.0000
```

Values from the calculation:
The value obtained for the energy of formation from the pure elements is 2255 meV/atom.

What did the fourth record say?
The following is a SCAN calculation of a PBEsol-optimized structure of MnInTe2, from the Alexandria database.

Structure (extended XYZ):
```
4
Lattice="2.0474 -3.0056 0.0000 2.0474 3.0056 0.0000 0.0000 0.0000 8.4179" Properties=species:S:1:pos:R:3 pbc="T T T"
Mn 0.0000 0.0000 0.0000
In 0.0000 0.0000 4.2089
Te 2.0474 0.0000 1.7670
Te 2.0474 0.0000 6.6509
```

Values from the calculation:
Its uncorrected formation energy is -2.6 kcal/mol of atoms.